Entry 1:
A relaxed structure of BaCdSi2Ag, computed with PBE.

Summary:
Size of the total moment ... 0.00 μB per atom
Relative energy among the computed polymorphs ... 0.000 eV per atom
Formation energy from raw total energies ... 1.4 eV per formula unit
Mass density ... 5093 kg/m3
Calculated total energy ... -3.017 eV/atom

Lattice parameters (Å, degrees): 5.069 5.069 5.250 90.00 90.00 90.00
Space group P4/mmm (No. 123)
One atom of each set of equivalent atoms:
Ba  0.000  0.000  0.000 x1
Cd  0.500  0.500  0.000 x1
Si  0.000  0.500  0.500 x2
Ag  0.500  0.500  0.500 x1

***

Entry 2:
A relaxed structure of BaSmCdAg, computed with PBE.

Summary:
ΔE_f ... -0.6 eV per formula unit
Size of the total moment ... 0.00 μB per atom
Mass density ... 6764 kg/m3
Calculated total energy ... -2.757 eV/atom

Lattice parameters (Å, degrees): 7.931 7.931 7.931 90.00 90.00 90.00
Space group F-43m (No. 216)
One atom of each set of equivalent atoms:
Ba  0.000  0.000  0.000 x4
Sm  0.000  0.000  0.500 x4
Cd  0.250  0.250  0.750 x4
Ag  0.250  0.250  0.250 x4

***

Entry 3:
A relaxed structure of Ba2Cd4AgSn3, computed with PBE.

Summary:
ΔE_f ... -3.7 eV per formula unit
Size of the total moment ... 0.00 μB per atom
Mass density ... 6786 kg/m3
Calculated total energy ... -2.608 eV/atom

Lattice parameters (Å, degrees): 4.839 4.839 12.416 90.00 90.00 90.00
Space group P-4m2 (No. 115)
One atom of each set of equivalent atoms:
Ba  0.000  0.500  0.249 x2
Cd  0.000  0.000  0.000 x1
Cd  0.000  0.500  0.630 x2
Cd  0.500  0.500  0.000 x1
Ag  0.000  0.000  0.500 x1
Sn  0.000  0.500  0.861 x2
Sn  0.500  0.500  0.500 x1

***

Entry 4:
A relaxed structure of Ba2Cd12Ag3Sn, computed with PBE.

Summary:
ΔE_f ... -0.8 eV per formula unit
Size of the total moment ... 0.00 μB per atom
Mass density ... 6866 kg/m3
Calculated total energy ... -1.567 eV/atom

Lattice parameters (Å, degrees): 7.0281 7.0281 35.0396 90.00 90.00 120.00
Space group R-3m (No. 166, hexagonal axes)
One atom of each set of equivalent atoms:
Ba  0.0000  0.0000  0.1405 x6
Cd  0.0099  0.5050  0.8985 x18
Cd  0.0601  0.5300  0.6199 x18
Ag  0.0000  0.5000  0.0000 x9
Sn  0.0000  0.0000  0.5000 x3

***

Entry 5:
A relaxed structure of Ba2CdAgSn6, computed with PBE.

Summary:
ΔE_f ... -2.1 eV per formula unit
Size of the total moment ... 0.00 μB per atom
Mass density ... 6033 kg/m3
Calculated total energy ... -3.377 eV/atom

Lattice parameters (Å, degrees): 7.0415 7.0415 46.4299 90.00 90.00 120.00
Space group R-3m (No. 166, hexagonal axes)
One atom of each set of equivalent atoms:
Ba  0.0000  0.0000  0.1206 x6
Ba  0.0000  0.0000  0.3121 x6
Cd  0.0000  0.0000  0.4235 x6
Ag  0.0000  0.0000  0.0000 x3
Ag  0.0000  0.0000  0.5000 x3
Sn  0.0438  0.5219  0.7156 x18
Sn  0.0544  0.5272  0.8679 x18

***

Entry 6:
A relaxed structure of Ba2Cd3Ag4Sn, computed with PBE.

Summary:
ΔE_f ... -2.6 eV per formula unit
Size of the total moment ... 0.00 μB per atom
Mass density ... 6999 kg/m3
Calculated total energy ... -2.459 eV/atom

Lattice parameters (Å, degrees): 4.968 4.968 11.172 90.00 90.00 90.00
Space group P-4m2 (No. 115)
One atom of each set of equivalent atoms:
Ba  0.000  0.500  0.248 x2
Cd  0.000  0.500  0.877 x2
Cd  0.500  0.500  0.500 x1
Ag  0.000  0.000  0.000 x1
Ag  0.000  0.500  0.628 x2
Ag  0.500  0.500  0.000 x1
Sn  0.000  0.000  0.500 x1

***

Entry 7:
A relaxed structure of Ba2Cd4Ag3Sn, computed with PBE.

Summary:
ΔE_f ... -2.7 eV per formula unit
Size of the total moment ... 0.00 μB per atom
Mass density ... 6925 kg/m3
Calculated total energy ... -2.274 eV/atom

Lattice parameters (Å, degrees): 4.812 4.812 12.082 90.00 90.00 90.00
Space group P-4m2 (No. 115)
One atom of each set of equivalent atoms:
Ba  0.000  0.500  0.249 x2
Cd  0.000  0.000  0.500 x1
Cd  0.000  0.500  0.862 x2
Cd  0.500  0.500  0.500 x1
Ag  0.000  0.000  0.000 x1
Ag  0.000  0.500  0.631 x2
Sn  0.500  0.500  0.000 x1

***

Entry 8:
A relaxed structure of Ba2CdAg6Sn, computed with PBE.

Summary:
ΔE_f ... -0.4 eV per formula unit
Size of the total moment ... 0.00 μB per atom
Mass density ... 6385 kg/m3
Calculated total energy ... -2.625 eV/atom

Lattice parameters (Å, degrees): 6.945 7.528 7.539 89.70 62.60 62.62
Space group P-1 (No. 2)
One atom of each set of equivalent atoms:
Ba  0.000  0.248  0.252 x2
Cd  0.500  0.500  0.000 x1
Ag  0.003  0.748  0.248 x2
Ag  0.500  0.252  0.248 x2
Ag  0.500  0.252  0.752 x2
Sn  0.500  0.000  0.500 x1

***

Entry 9:
A relaxed structure of BaCd2AgSn2, computed with PBE.

Summary:
ΔE_f ... -0.9 eV per formula unit
Size of the total moment ... 0.00 μB per atom
Mass density ... 6210 kg/m3
Calculated total energy ... -2.579 eV/atom

Lattice parameters (Å, degrees): 8.070 9.598 4.884 90.00 90.00 90.00
Space group Pnnm (No. 58)
One atom of each set of equivalent atoms:
Ba  0.000  0.000  0.000 x2
Cd  0.068  0.335  0.500 x4
Ag  0.000  0.500  0.000 x2
Sn  0.243  0.807  0.500 x4

***

Entry 10:
A relaxed structure of BaSr2CdAg, computed with PBE.

Summary:
ΔE_f ... -0.3 eV per formula unit
Size of the total moment ... 0.00 μB per atom
Mass density ... 4233 kg/m3
Calculated total energy ... -1.874 eV/atom

Lattice parameters (Å, degrees): 6.159 6.159 5.510 90.00 90.00 90.00
Space group P4/mmm (No. 123)
One atom of each set of equivalent atoms:
Ba  0.000  0.000  0.000 x1
Sr  0.000  0.500  0.500 x2
Cd  0.500  0.500  0.000 x1
Ag  0.500  0.500  0.500 x1

***

Entry 11:
A relaxed structure of Ba3Sr3Cd2Ag, computed with PBE.

Summary:
ΔE_f ... -1.8 eV per formula unit
Size of the total moment ... 0.00 μB per atom
Mass density ... 4296 kg/m3
Calculated total energy ... -1.918 eV/atom

Lattice parameters (Å, degrees): 9.6300 9.6300 4.8487 90.00 90.00 120.00
Space group P-62m (No. 189)
One atom of each set of equivalent atoms:
Ba  0.0000  0.4093  0.0000 x3
Sr  0.0000  0.7553  0.5000 x3
Cd  0.3333  0.6667  0.5000 x2
Ag  0.0000  0.0000  0.0000 x1

***

Entry 12:
A relaxed structure of Ba2TbCd12Ag3, computed with PBE.

Summary:
ΔE_f ... 0.8 eV per formula unit
Size of the total moment ... 0.00 μB per atom
Mass density ... 6275 kg/m3
Calculated total energy ... -1.510 eV/atom

Lattice parameters (Å, degrees): 8.4967 8.4967 26.7410 90.00 90.00 120.00
Space group R-3m (No. 166, hexagonal axes)
One atom of each set of equivalent atoms:
Ba  0.0000  0.0000  0.1106 x6
Tb  0.0000  0.0000  0.5000 x3
Cd  0.0905  0.5452  0.2699 x18
Cd  0.0940  0.5470  0.8902 x18
Ag  0.0000  0.5000  0.0000 x9

***

Entry 13:
A relaxed structure of BaTbCdAg, computed with PBE.

Summary:
ΔE_f ... -0.6 eV per formula unit
Size of the total moment ... 0.00 μB per atom
Mass density ... 7016 kg/m3
Calculated total energy ... -2.719 eV/atom

Lattice parameters (Å, degrees): 7.879 7.879 7.879 90.00 90.00 90.00
Space group F-43m (No. 216)
One atom of each set of equivalent atoms:
Ba  0.000  0.000  0.000 x4
Tb  0.000  0.000  0.500 x4
Cd  0.250  0.250  0.250 x4
Ag  0.250  0.250  0.750 x4

***

Entry 14:
A relaxed structure of Ba2Tl6CdAg, computed with PBE.

Summary:
ΔE_f ... -1.4 eV per formula unit
Size of the total moment ... 0.00 μB per atom
Mass density ... 8540 kg/m3
Calculated total energy ... -2.321 eV/atom

Lattice parameters (Å, degrees): 7.6496 7.6496 39.6231 90.00 90.00 120.00
Space group R-3m (No. 166, hexagonal axes)
One atom of each set of equivalent atoms:
Ba  0.0000  0.0000  0.1076 x6
Ba  0.0000  0.0000  0.2822 x6
Tl  0.0475  0.5237  0.3006 x18
Tl  0.0566  0.5283  0.8657 x18
Cd  0.0000  0.0000  0.4267 x6
Ag  0.0000  0.0000  0.0000 x3
Ag  0.0000  0.0000  0.5000 x3

***

Entry 15:
A relaxed structure of BaTlCd2Ag, computed with PBE.

Summary:
ΔE_f ... -0.4 eV per formula unit
Size of the total moment ... 0.00 μB per atom
Relative energy among the computed polymorphs ... 0.150 eV per atom
Mass density ... 6965 kg/m3
Calculated total energy ... -1.877 eV/atom

Lattice parameters (Å, degrees): 5.378 5.378 5.559 90.00 90.00 90.00
Space group P4/mmm (No. 123)
One atom of each set of equivalent atoms:
Ba  0.000  0.000  0.000 x1
Tl  0.500  0.500  0.000 x1
Cd  0.000  0.500  0.500 x2
Ag  0.500  0.500  0.500 x1

***

Entry 16:
A relaxed structure of Ba2TlCd4Ag3, computed with PBE.

Summary:
ΔE_f ... -2.2 eV per formula unit
Size of the total moment ... 0.00 μB per atom
Mass density ... 7321 kg/m3
Calculated total energy ... -2.066 eV/atom

Lattice parameters (Å, degrees): 4.805 4.805 12.302 90.00 90.00 90.00
Space group P-4m2 (No. 115)
One atom of each set of equivalent atoms:
Ba  0.000  0.500  0.246 x2
Tl  0.000  0.000  0.500 x1
Cd  0.000  0.000  0.000 x1
Cd  0.000  0.500  0.641 x2
Cd  0.500  0.500  0.000 x1
Ag  0.000  0.500  0.869 x2
Ag  0.500  0.500  0.500 x1

***

Entry 17:
A relaxed structure of Ba2Tl4Cd3Ag, computed with PBE.

Summary:
ΔE_f ... -2.3 eV per formula unit
Size of the total moment ... 0.00 μB per atom
Mass density ... 8249 kg/m3
Calculated total energy ... -2.117 eV/atom

Lattice parameters (Å, degrees): 4.985 4.985 12.452 90.00 90.00 90.00
Space group P-4m2 (No. 115)
One atom of each set of equivalent atoms:
Ba  0.000  0.500  0.242 x2
Tl  0.000  0.000  0.500 x1
Tl  0.000  0.500  0.875 x2
Tl  0.500  0.500  0.500 x1
Cd  0.000  0.000  0.000 x1
Cd  0.000  0.500  0.640 x2
Ag  0.500  0.500  0.000 x1

***

Entry 18:
A relaxed structure of BaTlCd4Ag2, computed with PBE.

Summary:
ΔE_f ... -0.8 eV per formula unit
Size of the total moment ... 0.00 μB per atom
Mass density ... 7590 kg/m3
Calculated total energy ... -1.802 eV/atom

Lattice parameters (Å, degrees): 4.8622 4.8622 32.2864 90.00 90.00 120.00
Space group R-3m (No. 166, hexagonal axes)
One atom of each set of equivalent atoms:
Ba  0.0000  0.0000  0.0000 x3
Tl  0.0000  0.0000  0.5000 x3
Cd  0.0000  0.0000  0.1157 x6
Cd  0.0000  0.0000  0.4025 x6
Ag  0.0000  0.0000  0.2500 x6

***

Entry 19:
A relaxed structure of Ba2TlCdAg6, computed with PBE.

Summary:
ΔE_f ... -1.3 eV per formula unit
Size of the total moment ... 0.00 μB per atom
Mass density ... 7245 kg/m3
Calculated total energy ... -2.556 eV/atom

Lattice parameters (Å, degrees): 13.972 5.811 9.773 90.00 134.30 90.00
Space group C2/m (No. 12)
One atom of each set of equivalent atoms:
Ba  0.248  0.000  0.207 x4
Tl  0.000  0.500  0.000 x2
Cd  0.000  0.000  0.500 x2
Ag  0.014  0.250  0.269 x8
Ag  0.248  0.000  0.575 x4

***

Entry 20:
A relaxed structure of BaTl2Cd4Ag, computed with PBE.

Summary:
ΔE_f ... -0.8 eV per formula unit
Size of the total moment ... 0.00 μB per atom
Mass density ... 8247 kg/m3
Calculated total energy ... -1.748 eV/atom

Lattice parameters (Å, degrees): 5.0865 5.0865 29.7514 90.00 90.00 120.00
Space group R-3m (No. 166, hexagonal axes)
One atom of each set of equivalent atoms:
Ba  0.0000  0.0000  0.0000 x3
Tl  0.0000  0.0000  0.2501 x6
Cd  0.0000  0.0000  0.1395 x6
Cd  0.0000  0.0000  0.4037 x6
Ag  0.0000  0.0000  0.5000 x3